Here is an optimized crystal structure of Li4Pu3FeO12 from Alexandria. Energies are from GGA+U.

Output
As for the calculated total energy: -7.846 eV/atom. Its total magnetization is 36.00 Bohr magnetons per cell.

Geometry as CIF:
```
data_Li4Pu3FeO12
_space_group_name_H-M_alt 'R 3 2'
_space_group_IT_number 155
_space_group_name_Hall 'R 3 2"'
_cell_length_a 10.8719
_cell_length_b 10.8719
_cell_length_c 7.6437
_cell_angle_alpha 90.00
_cell_angle_beta 90.00
_cell_angle_gamma 120.00
loop_
_atom_site_label
_atom_site_type_symbol
_atom_site_fract_x
_atom_site_fract_y
_atom_site_fract_z
Li1 Li 0.0000 0.0000 0.0000
Li2 Li 0.0000 0.4406 0.0000
Pu1 Pu 0.0000 0.5514 0.5000
Fe1 Fe 0.0000 0.0000 0.5000
O1 O 0.0000 0.6092 0.0000
O2 O 0.0000 0.8377 0.0000
O3 O 0.0523 0.1919 0.6669
```